[1]
First-principles (PBE-GGA) data for a relaxed structure of Nd2Mn2Ni15, as listed in the Alexandria database.

Cell and atoms, written as POSCAR:
```
Nd2Mn2Ni15
1.0
4.198 2.424 4.099
-4.198 2.424 4.099
0.000 -4.847 4.099
Nd Mn Ni
2 2 15
direct
0.154 0.154 0.154
0.846 0.846 0.846
0.399 0.399 0.399
0.601 0.601 0.601
0.000 0.500 0.500
0.158 0.158 0.653
0.158 0.653 0.158
0.208 0.500 0.792
0.208 0.792 0.500
0.347 0.842 0.842
0.500 0.000 0.500
0.500 0.208 0.792
0.500 0.500 0.000
0.500 0.792 0.208
0.653 0.158 0.158
0.792 0.208 0.500
0.792 0.500 0.208
0.842 0.347 0.842
0.842 0.842 0.347
```

Calculated values
Formation enthalpy at 0 K in eV per atom: -0.184
Total magnetization in μB/cell: 13.2
SG: R-3m

=====

[2]
First-principles (PBE-GGA) data for a relaxed structure of Tm3ScTe2, as listed in the Alexandria database.

Cell and atoms, written as POSCAR:
```
Tm3ScTe2
1.0
2.533 -7.652 0.000
2.533 7.652 0.000
0.000 0.000 3.934
Tm Sc Te
3 1 2
direct
0.000 0.000 0.000
0.174 0.826 0.500
0.826 0.174 0.500
0.500 0.500 0.500
0.351 0.649 0.000
0.649 0.351 0.000
```

Calculated values
ΔE to the lowest computed polymorph in eV/atom: 0.042
Total magnetization in μB/cell: 0.0
SG: Cmmm
Uncorrected formation energy in eV per formula unit: -3.906

=====

For each record above, in turn, the calculated Fermi-level density of states values are 1.0284, 0.8355 states/eV/atom.